This record from the Alexandria database describes a crystal of TaCo relaxed with PBEsol. The functional is SCAN.

Lattice parameters (Å, degrees): 8.9394 7.3546 5.0366 90.00 90.00 90.00
Fractional coordinates of all 24 atoms:
Ta 0.1170 0.2500 0.0000
Ta 0.1170 0.2500 0.5000
Ta 0.1910 0.6342 0.2500
Ta 0.1910 0.8658 0.7500
Ta 0.3704 0.0291 0.2500
Ta 0.3704 0.4709 0.7500
Ta 0.6296 0.5291 0.2500
Ta 0.6296 0.9709 0.7500
Ta 0.8090 0.1342 0.2500
Ta 0.8090 0.3658 0.7500
Ta 0.8830 0.7500 0.0000
Ta 0.8830 0.7500 0.5000
Co 0.0613 0.5414 0.7500
Co 0.0613 0.9586 0.2500
Co 0.3594 0.1228 0.7500
Co 0.3594 0.3772 0.2500
Co 0.4290 0.7500 0.0000
Co 0.4290 0.7500 0.5000
Co 0.5710 0.2500 0.0000
Co 0.5710 0.2500 0.5000
Co 0.6405 0.6228 0.7500
Co 0.6405 0.8772 0.2500
Co 0.9387 0.0414 0.7500
Co 0.9387 0.4586 0.2500

E = -1008.3 eV/cell
Calculated density = 14.4 g/cm³
Symmetry = Pbcm (57)
Volume = 27.6 Å³/f.u.

This record from the Alexandria database describes a crystal of TiIrPtC2 relaxed with PBEsol. The functional is SCAN.

Lattice parameters (Å, degrees): 3.7842 3.7842 5.3001 90.00 90.00 90.00
Fractional coordinates of all 5 atoms:
Ti 0.0000 0.0000 0.0000
Ir 0.5000 0.5000 0.0000
Pt 0.5000 0.5000 0.5000
C 0.0000 0.5000 0.5000
C 0.5000 0.0000 0.5000

E = -169.8 eV/cell
Calculated density = 10.0 g/cm³
Symmetry = P4/mmm (123)
Volume = 75.9 Å³/f.u.

This record from the Alexandria database describes a crystal of Li3Ag relaxed with PBEsol. The functional is SCAN.

Lattice parameters (Å, degrees): 8.9496 8.9496 2.8258 90.00 90.00 120.00
Fractional coordinates of all 12 atoms:
Li 0.0000 0.5000 0.0000
Li 0.1667 0.3333 0.3333
Li 0.1667 0.8333 0.3333
Li 0.3333 0.1667 0.6667
Li 0.5000 0.0000 0.0000
Li 0.5000 0.5000 0.0000
Li 0.6667 0.8333 0.3333
Li 0.8333 0.1667 0.6667
Li 0.8333 0.6667 0.6667
Ag 0.0000 0.0000 0.0000
Ag 0.3333 0.6667 0.6667
Ag 0.6667 0.3333 0.3333

E = -116.9 eV/cell
Calculated density = 3.3 g/cm³
Symmetry = R-3m (166)
Volume = 65.3 Å³/f.u.

This record from the Alexandria database describes a crystal of In3HgBr relaxed with PBEsol. The functional is SCAN.

Lattice parameters (Å, degrees): 5.4792 5.4792 5.4792 90.00 90.00 90.00
Fractional coordinates of all 5 atoms:
In 0.0000 0.0000 0.5000
In 0.0000 0.5000 0.0000
In 0.5000 0.0000 0.0000
Hg 0.0000 0.0000 0.0000
Br 0.5000 0.5000 0.5000

Calculated density = 6.3 g/cm³
Symmetry = Pm-3m (221)
Volume = 164.5 Å³/f.u.
Uncorrected formation energy = -2 kJ/mol of formula units

This record from the Alexandria database describes a crystal of CaAuSe2 relaxed with PBEsol. The functional is SCAN.

Lattice parameters (Å, degrees): 5.0583 5.0583 6.5102 90.00 90.00 90.00
Fractional coordinates of all 8 atoms:
Ca 0.0000 0.0000 0.0000
Ca 0.5000 0.5000 0.5000
Au 0.0000 0.0000 0.5000
Au 0.5000 0.5000 0.0000
Se 0.0000 0.5000 0.2500
Se 0.0000 0.5000 0.7500
Se 0.5000 0.0000 0.2500
Se 0.5000 0.0000 0.7500

Calculated density = 7.9 g/cm³
Symmetry = I4/mmm (139)
Volume = 83.3 Å³/f.u.
Uncorrected formation energy = -244 kJ/mol of formula units

This record from the Alexandria database describes a crystal of Al2CdGe2 relaxed with PBEsol. The functional is SCAN.

Lattice parameters (Å, degrees): 4.0819 4.0819 11.9470 90.00 90.00 90.00
Fractional coordinates of all 10 atoms:
Al 0.0000 0.0000 0.1077
Al 0.0000 0.0000 0.8923
Al 0.5000 0.5000 0.3923
Al 0.5000 0.5000 0.6077
Cd 0.0000 0.0000 0.5000
Cd 0.5000 0.5000 0.0000
Ge 0.0000 0.5000 0.2500
Ge 0.0000 0.5000 0.7500
Ge 0.5000 0.0000 0.2500
Ge 0.5000 0.0000 0.7500

E = -166.1 eV/cell
Calculated density = 5.2 g/cm³
Symmetry = I4/mmm (139)
Volume = 99.5 Å³/f.u.